Record 1
# PmAl5Co | Alexandria | PBE-GGA | optimized geometry
# formation enthalpy at 0 K	-0.44	eV per atom
# total magnetization	0.00	μB/f.u.
# density of states at the Fermi level	1.8	states/eV per cell
data_PmAl5Co
_symmetry_space_group_name_H-M 'P 4/m m m'
_symmetry_Int_Tables_number 123
_symmetry_space_group_name_Hall '-P 4 2'
_cell_length_a 4.237
_cell_length_b 4.237
_cell_length_c 6.970
_cell_angle_alpha 90.00
_cell_angle_beta 90.00
_cell_angle_gamma 90.00
loop_
_atom_site_label
_atom_site_type_symbol
_atom_site_fract_x
_atom_site_fract_y
_atom_site_fract_z
Pm1 Pm 0.000 0.000 0.000
Al1 Al 0.000 0.500 0.314
Al2 Al 0.500 0.500 0.000
Co1 Co 0.000 0.000 0.500

Record 2
# AcPm4Sn3 | Alexandria | PBE-GGA | optimized geometry
# formation enthalpy at 0 K	-0.43	eV per atom
# total magnetization	0.00	μB/f.u.
# density of states at the Fermi level	19.7	states/eV per cell
data_AcPm4Sn3
_symmetry_space_group_name_H-M 'I m m m'
_symmetry_Int_Tables_number 71
_symmetry_space_group_name_Hall '-I 2 2'
_cell_length_a 3.626
_cell_length_b 8.820
_cell_length_c 15.979
_cell_angle_alpha 90.00
_cell_angle_beta 90.00
_cell_angle_gamma 90.00
loop_
_atom_site_label
_atom_site_type_symbol
_atom_site_fract_x
_atom_site_fract_y
_atom_site_fract_z
Ac1 Ac 0.000 0.000 0.000
Pm1 Pm 0.000 0.305 0.140
Sn1 Sn 0.000 0.000 0.500
Sn2 Sn 0.000 0.500 0.311

Record 3
# Ba3Pa2Pt2O5 | Alexandria | PBE-GGA | optimized geometry
# total magnetization	0.37	μB/f.u.
# uncorrected formation energy	-2.458	eV per atom
# density of states at the Fermi level	14.0	states/eV per cell
data_Ba3Pa2Pt2O5
_symmetry_space_group_name_H-M 'I 4/m m m'
_symmetry_Int_Tables_number 139
_symmetry_space_group_name_Hall '-I 4 2'
_cell_length_a 4.449
_cell_length_b 4.449
_cell_length_c 26.955
_cell_angle_alpha 90.00
_cell_angle_beta 90.00
_cell_angle_gamma 90.00
loop_
_atom_site_label
_atom_site_type_symbol
_atom_site_fract_x
_atom_site_fract_y
_atom_site_fract_z
Ba1 Ba 0.000 0.000 0.000
Ba2 Ba 0.000 0.000 0.191
Pa1 Pa 0.000 0.000 0.418
Pt1 Pt 0.000 0.000 0.317
O1 O 0.000 0.000 0.500
O2 O 0.000 0.500 0.072

Look up the density of states at the Fermi level of the third one.
14.0 states/eV per cell